Record 1
LaZnRh2: optimized geometry, PBE.

```
LaZnRh2
1.0
0.000 3.352 3.352
3.352 0.000 3.352
3.352 3.352 0.000
La Zn Rh
1 1 2
direct
0.000 0.000 0.000
0.750 0.750 0.750
0.250 0.250 0.250
0.500 0.500 0.500
```

Computed properties:
* E: -21.589 eV/f.u.
* total magnetization: 0.001 μB per cell
* space group: F-43m
* calculated formation energy: -0.17 eV per atom

***

Record 2
CaAl2Cd: optimized geometry, PBE.

```
CaAl2Cd
1.0
-2.287 2.287 4.201
2.287 -2.287 4.201
2.287 2.287 -4.201
Ca Al Cd
1 2 1
direct
0.000 0.000 0.000
0.500 0.500 0.000
0.750 0.250 0.500
0.250 0.750 0.500
```

Computed properties:
* E: -10.702 eV/f.u.
* total magnetization: 0.000 μB per cell
* space group: I-4m2
* calculated formation energy: -0.08 eV per atom

***

Record 3
KLiNi2: optimized geometry, PBE.

```
KLiNi2
1.0
4.036 -1.391 0.000
4.036 1.391 0.000
-0.674 0.000 7.347
K Li Ni
1 1 2
direct
0.000 0.000 0.000
0.217 0.217 0.590
0.487 0.487 0.398
0.757 0.757 0.322
```

Computed properties:
* E: -12.965 eV/f.u.
* energy above the most stable polymorph in this dataset: 0.044 eV/atom
* total magnetization: 0.479 μB per cell
* space group: Cm
* calculated formation energy: 0.40 eV per atom